1.
# Ti2SiH

Crystalline Ti2SiH at its relaxed geometry (PBE, Alexandria).

As for the energy above the most stable polymorph in this dataset: 0.00 eV per formula unit. The calculation puts the density of states at the Fermi level at 0.681 states/eV/atom. For the total magnetic moment, the calculation gives 0.0 μB per formula unit. Its volume is 12.200 A^3/atom.

Lattice parameters (Å, degrees): 3.4576 6.8083 8.2921 90.00 90.00 90.00
Closest atoms and distances in Å follow each position.
Atoms (fractional coordinates):
1 H 0.2500 0.0421 0.6135  4 Ti 1.89-1.91
2 H 0.2500 0.5421 0.8865  4 Ti 1.89-1.91
3 H 0.7500 0.9579 0.3865  4 Ti 1.89-1.91
4 H 0.7500 0.4579 0.1135  4 Ti 1.89-1.91
5 Ti 0.2500 0.8639 0.4390  3 H 1.89
6 Ti 0.7500 0.6361 0.9390  3 H 1.89
7 Ti 0.7500 0.5452 0.3330  1 H 1.91
8 Ti 0.2500 0.9548 0.8330  1 H 1.91
9 Ti 0.2500 0.4548 0.6670  1 H 1.91
10 Ti 0.7500 0.0452 0.1670  1 H 1.91
11 Ti 0.7500 0.1361 0.5610  3 H 1.89
12 Ti 0.2500 0.3639 0.0610  3 H 1.89
13 Si 0.2500 0.7611 0.1442  8 Ti 2.54-2.79, 3 H 2.61-2.70
14 Si 0.2500 0.2611 0.3558  8 Ti 2.54-2.79, 3 H 2.61-2.70
15 Si 0.7500 0.2389 0.8558  8 Ti 2.54-2.79, 3 H 2.61-2.70
16 Si 0.7500 0.7389 0.6442  8 Ti 2.54-2.79, 3 H 2.61-2.70

***

2.
# Ti2SiH

Crystalline Ti2SiH at its relaxed geometry (PBE, Alexandria).

As for the energy above the most stable polymorph in this dataset: 2.59 eV per formula unit. The calculation puts the density of states at the Fermi level at 1.019 states/eV/atom. For the total magnetic moment, the calculation gives 0.0 μB per formula unit. Its volume is 18.797 A^3/atom.

Lattice parameters (Å, degrees): 3.9266 3.9266 6.0704 71.13 71.13 60.00
Closest atoms and distances in Å follow each position.
Atoms (fractional coordinates):
1 Ti 0.8931 0.8931 0.3208  1 H 1.81
2 Ti 0.1069 0.1069 0.6792  1 H 1.81
3 H 0.0000 0.0000 0.0000  2 Ti 1.81
4 Si 0.5000 0.5000 0.5000  6 Ti 2.48

***

3.
# Ti3SiH2

Crystalline Ti3SiH2 at its relaxed geometry (PBE, Alexandria).

For the energy, the calculation gives -75.95 eV for the cell shown. The calculation puts the density of states at the Fermi level at 0.826 states/eV/atom. For the total magnetic moment, the calculation gives 0.0 μB per formula unit. Its volume is 11.848 A^3/atom.

Lattice parameters (Å, degrees): 2.8715 5.1310 10.1196 105.41 98.16 90.00
Closest atoms and distances in Å follow each position.
Atoms (fractional coordinates):
1 Ti 0.9658 0.2253 0.9317  2 H 1.88-1.91
2 Ti 0.7628 0.7589 0.5257  3 H 1.85-1.89
3 Ti 0.0342 0.7747 0.0683  2 H 1.88-1.91
4 Ti 0.3932 0.6473 0.7864  3 H 1.89-1.90
5 Ti 0.2372 0.2411 0.4743  3 H 1.85-1.89
6 Ti 0.6068 0.3527 0.2136  3 H 1.89-1.90
7 H 0.9461 0.8398 0.8922  4 Ti 1.88-1.91
8 H 0.2958 0.5873 0.5917  4 Ti 1.85-1.89
9 H 0.7042 0.4127 0.4083  4 Ti 1.85-1.89
10 H 0.0539 0.1602 0.1078  4 Ti 1.88-1.91
11 Si 0.6469 0.8754 0.2937  7 Ti 2.55-2.77, 1 H 2.69
12 Si 0.3531 0.1246 0.7063  7 Ti 2.55-2.77, 1 H 2.69